First-principles (PBE) data for a relaxed structure of NaTa2Ir2, as listed in Alexandria via LeMat-Bulk.

abc: 8.0003 8.0003 2.8221
angles: 90.00 90.00 90.00
Last column: nearest neighbours and their distance in Å.
Space group P4/mbm (No. 127)
Symmetry-distinct sites (fractional):
Na 0.0000 0.0000 0.0000 (multiplicity 2)  2 Na 2.82, 4 Ta 3.07
Ta 0.1456 0.3544 0.0000 (multiplicity 4)  6 Ir 2.73-2.75, 2 Ta 2.82
Ir 0.1461 0.6461 0.5000 (multiplicity 4)  6 Ta 2.73-2.75, 2 Ir 2.82

- DFT formation energy: -1.2 eV per formula unit
- Energy above the most stable polymorph in this dataset: 0.027 eV per atom
- Crystal system: tetragonal
- Volume: 181 Å³/cell
- Total magnetization: 0.00 μB per atom